A relaxed CsV2WO8 crystal. Source: Alexandria, functional PBE with a Hubbard U.

Summary:
Fermi-level density of states   2.35 states/eV/f.u.
Size of the total moment   0.083 μB per atom
Calculated volume   19.6 A^3/atom
VASP energy   -86.37 eV/f.u.
Symmetry   No. 164

Cell lengths 5.667, 5.667, 8.464 Å; angles 90.00, 90.00, 120.00 degrees
Site moments in Bohr magnetons follow the coordinates.
Sites, in units of the cell vectors:
Cs: 0.000 0.000 0.000  0.00
V: 0.667 0.333 0.294  0.29
V: 0.333 0.667 0.706  0.29
W: 0.000 0.000 0.500  0.70
O: 0.333 0.667 0.902  -0.03
O: 0.324 0.162 0.364  -0.05
O: 0.838 0.162 0.364  -0.05
O: 0.667 0.333 0.098  -0.03
O: 0.162 0.838 0.636  -0.05
O: 0.676 0.838 0.636  -0.05
O: 0.162 0.324 0.636  -0.05
O: 0.838 0.676 0.364  -0.05